## one
Computed, not measured: an optimized crystal structure of Zn2HgPb2 at the PBE level of DFT.

a = 4.850 Å, b = 4.850 Å, c = 11.582 Å
α = 90.00°, β = 90.00°, γ = 90.00°
Space group I4/mmm (No. 139)
Asymmetric unit:
Zn  0.000  0.000  0.104 (multiplicity 4)
Hg  0.000  0.000  0.500 (multiplicity 2)
Pb  0.000  0.500  0.250 (multiplicity 4)

- Magnetization: 0.0 μB/f.u.

***

## two
Computed, not measured: an optimized crystal structure of Zn2HgPb2 at the PBE level of DFT.

a = 3.638 Å, b = 3.638 Å, c = 19.095 Å
α = 90.00°, β = 90.00°, γ = 90.00°
Space group I4/mmm (No. 139)
Asymmetric unit:
Zn  0.000  0.500  0.250 (multiplicity 4)
Hg  0.000  0.000  0.000 (multiplicity 2)
Pb  0.000  0.000  0.384 (multiplicity 4)

- Magnetization: 0.0 μB/f.u.

***

## three
Computed, not measured: an optimized crystal structure of Zn2HgPb2 at the PBE level of DFT.

a = 8.661 Å, b = 8.661 Å, c = 3.437 Å
α = 90.00°, β = 90.00°, γ = 90.00°
Space group P4/mbm (No. 127)
Asymmetric unit:
Zn  0.149  0.351  0.000 (multiplicity 4)
Hg  0.000  0.000  0.500 (multiplicity 2)
Pb  0.147  0.647  0.500 (multiplicity 4)

- Magnetization: 0.0 μB/f.u.

***

Quick look at relative energies in eV/atom: one 0.102; two 0.000; three 0.092.

***

## one
Computed, not measured: an optimized crystal structure of ZnHgPb3 at the PBE level of DFT.

a = 5.754 Å, b = 5.754 Å, c = 5.754 Å
α = 90.00°, β = 90.00°, γ = 90.00°
Space group Pm-3m (No. 221)
Asymmetric unit:
Zn  0.000  0.000  0.000 (multiplicity 1)
Hg  0.500  0.500  0.500 (multiplicity 1)
Pb  0.000  0.500  0.500 (multiplicity 3)

- Magnetization: 0.0 μB/f.u.

***

## two
Computed, not measured: an optimized crystal structure of ZnHgPb3 at the PBE level of DFT.

a = 5.441 Å, b = 5.441 Å, c = 5.441 Å
α = 90.00°, β = 90.00°, γ = 90.00°
Space group Pm-3m (No. 221)
Asymmetric unit:
Zn  0.000  0.000  0.000 (multiplicity 1)
Hg  0.500  0.500  0.500 (multiplicity 1)
Pb  0.000  0.000  0.500 (multiplicity 3)

- Magnetization: 0.0 μB/f.u.

***

Quick look at relative energies in eV/atom: one 0.285; two 0.000.

***

## one
Computed, not measured: an optimized crystal structure of ZrHgPb at the PBE level of DFT.

a = 4.370 Å, b = 14.903 Å, c = 4.354 Å
α = 90.00°, β = 90.00°, γ = 90.00°
Space group Cmmm (No. 65)
Asymmetric unit:
Zr  0.000  0.154  0.000 (multiplicity 4)
Hg  0.000  0.000  0.500 (multiplicity 2)
Hg  0.000  0.500  0.000 (multiplicity 2)
Pb  0.000  0.330  0.500 (multiplicity 4)

- Magnetization: 0.0 μB/f.u.

***

## two
Computed, not measured: an optimized crystal structure of ZrHgPb at the PBE level of DFT.

a = 4.323 Å, b = 5.161 Å, c = 13.212 Å
α = 90.00°, β = 90.00°, γ = 90.00°
Space group Fmm2 (No. 42)
Asymmetric unit:
Zr  0.000  0.000  0.000 (multiplicity 4)
Hg  0.000  0.000  0.347 (multiplicity 4)
Pb  0.000  0.000  0.668 (multiplicity 4)

- Magnetization: 0.0 μB/f.u.

***

Quick look at relative energies in eV/atom: one 0.000; two 0.108.

***

## one
Computed, not measured: an optimized crystal structure of ZrHgPb at the PBE level of DFT.

a = 11.505 Å, b = 3.364 Å, c = 8.112 Å
α = 90.00°, β = 109.36°, γ = 90.00°
Space group Cm (No. 8)
Asymmetric unit:
Zr  0.000  0.000  0.000 (multiplicity 2)
Zr  0.178  0.500  0.324 (multiplicity 2)
Hg  0.087  0.000  0.577 (multiplicity 2)
Hg  0.371  0.000  0.669 (multiplicity 2)
Pb  0.210  0.500  0.925 (multiplicity 2)
Pb  0.394  0.000  0.263 (multiplicity 2)

- Magnetization: 0.0 μB/f.u.

***

## two
Computed, not measured: an optimized crystal structure of ZrHgPb at the PBE level of DFT.

a = 4.9975 Å, b = 4.9975 Å, c = 3.3855 Å
α = 90.00°, β = 90.00°, γ = 120.00°
Space group P3m1 (No. 156)
Asymmetric unit:
Zr  0.0000  0.0000  0.0000 (multiplicity 1)
Hg  0.6667  0.3333  0.2587 (multiplicity 1)
Pb  0.3333  0.6667  0.5917 (multiplicity 1)

- Magnetization: 0.0 μB/f.u.

***

Quick look at relative energies in eV/atom: one 0.000; two 0.109.

***

## one
Computed, not measured: an optimized crystal structure of ZrHgPb at the PBE level of DFT.

a = 3.259 Å, b = 5.399 Å, c = 8.424 Å
α = 82.69°, β = 82.59°, γ = 89.13°
Space group P1 (No. 1)
Asymmetric unit:
Zr  0.000  0.000  0.000 (multiplicity 1)
Zr  0.195  0.384  0.652 (multiplicity 1)
Hg  0.357  0.107  0.308 (multiplicity 1)
Hg  0.842  0.601  0.340 (multiplicity 1)
Pb  0.528  0.504  0.984 (multiplicity 1)
Pb  0.676  0.897  0.658 (multiplicity 1)

- Magnetization: 0.0 μB/f.u.

***

## two
Computed, not measured: an optimized crystal structure of ZrHgPb at the PBE level of DFT.

a = 3.3314 Å, b = 3.3314 Å, c = 7.8055 Å
α = 90.00°, β = 90.00°, γ = 120.00°
Space group P3m1 (No. 156)
Asymmetric unit:
Zr  0.0000  0.0000  0.0000 (multiplicity 1)
Hg  0.3333  0.6667  0.3103 (multiplicity 1)
Pb  0.6667  0.3333  0.6646 (multiplicity 1)

- Magnetization: 0.0 μB/f.u.

***

## three
Computed, not measured: an optimized crystal structure of ZrHgPb at the PBE level of DFT.

a = 5.441 Å, b = 3.251 Å, c = 8.653 Å
α = 90.00°, β = 102.59°, γ = 90.00°
Space group P2_1/m (No. 11)
Asymmetric unit:
Zr  0.125  0.250  0.152 (multiplicity 2)
Hg  0.234  0.750  0.465 (multiplicity 2)
Pb  0.363  0.250  0.823 (multiplicity 2)

- Magnetization: 0.0 μB/f.u.

***

## four
Computed, not measured: an optimized crystal structure of ZrHgPb at the PBE level of DFT.

a = 3.284 Å, b = 3.284 Å, c = 13.796 Å
α = 90.00°, β = 90.00°, γ = 90.00°
Space group I4mm (No. 107)
Asymmetric unit:
Zr  0.000  0.000  0.000 (multiplicity 2)
Hg  0.000  0.000  0.646 (multiplicity 2)
Pb  0.000  0.000  0.333 (multiplicity 2)

- Magnetization: 0.0 μB/f.u.

***

Quick look at relative energies in eV/atom: one 0.010; two 0.076; three 0.000; four 0.067.

***

## one
Computed, not measured: an optimized crystal structure of ZrHgPb at the PBE level of DFT.

a = 11.519 Å, b = 3.290 Å, c = 8.254 Å
α = 90.00°, β = 99.44°, γ = 90.00°
Space group C2/m (No. 12)
Asymmetric unit:
Zr  0.149  0.000  0.390 (multiplicity 4)
Hg  0.146  0.500  0.075 (multiplicity 4)
Pb  0.094  0.500  0.697 (multiplicity 4)

- Magnetization: 0.0 μB/f.u.

***

## two
Computed, not measured: an optimized crystal structure of ZrHgPb at the PBE level of DFT.

a = 3.253 Å, b = 5.459 Å, c = 17.154 Å
α = 90.00°, β = 90.00°, γ = 90.00°
Space group Immm (No. 71)
Asymmetric unit:
Zr  0.000  0.000  0.169 (multiplicity 4)
Hg  0.000  0.247  0.000 (multiplicity 4)
Pb  0.000  0.000  0.345 (multiplicity 4)

- Magnetization: 0.0 μB/f.u.

***

## three
Computed, not measured: an optimized crystal structure of ZrHgPb at the PBE level of DFT.

a = 5.614 Å, b = 5.626 Å, c = 6.001 Å
α = 63.01°, β = 63.07°, γ = 67.27°
Space group P1 (No. 1)
Asymmetric unit:
Zr  0.000  0.000  0.000 (multiplicity 1)
Zr  0.155  0.846  0.501 (multiplicity 1)
Hg  0.636  0.695  0.043 (multiplicity 1)
Hg  0.852  0.482  0.541 (multiplicity 1)
Pb  0.287  0.380  0.008 (multiplicity 1)
Pb  0.536  0.129  0.510 (multiplicity 1)

- Magnetization: 0.0 μB/f.u.

***

Quick look at relative energies in eV/atom: one 0.000; two 0.175; three 0.045.